1.
! Ce2PuC GGA-PBE relaxed; values from VASP
! Total magnetization in μB/f.u.: 5.568
! ΔE_f in meV per atom: 63
! ΔE to the lowest computed polymorph in meV/atom: 67
! DFT total energy in eV/atom: -8.793
&SYSTEM
  ibrav = 0, nat = 4, ntyp = 3
/
ATOMIC_SPECIES
Ce 140.12 Ce.upf
Pu 244.00 Pu.upf
C 12.01 C.upf
CELL_PARAMETERS angstrom
1.7190 0.9925 8.8326
-1.7190 0.9925 8.8326
0.0000 -1.9849 8.8326
ATOMIC_POSITIONS angstrom
Ce 0.0000 0.0000 2.9506
Ce 0.0000 0.0000 23.5471
Pu 0.0000 0.0000 0.0000
C 0.0000 0.0000 13.2488

=====

2.
! CuTc3C GGA-PBE relaxed; values from VASP
! Total magnetization in μB/f.u.: 0.000
! ΔE_f in meV per atom: 315
! ΔE to the lowest computed polymorph in meV/atom: 0
! DFT total energy in eV/atom: -8.568
&SYSTEM
  ibrav = 0, nat = 5, ntyp = 3
/
ATOMIC_SPECIES
Cu 63.55 Cu.upf
Tc 98.00 Tc.upf
C 12.01 C.upf
CELL_PARAMETERS angstrom
4.0323 0.0000 0.0000
0.0000 4.0323 0.0000
0.0000 0.0000 4.0323
ATOMIC_POSITIONS angstrom
Cu 0.0000 0.0000 0.0000
Tc 0.0000 2.0162 2.0162
Tc 2.0162 0.0000 2.0162
Tc 2.0162 2.0162 0.0000
C 2.0162 2.0162 2.0162

=====

3.
! Ni5HgSe8 GGA-PBE relaxed; values from VASP
! Formation energy (no corrections) in kJ per mole of atoms: -22.08
! Total magnetization in μB/f.u.: 0.000
! DFT total energy in eV/atom: -4.306
&SYSTEM
  ibrav = 0, nat = 14, ntyp = 3
/
ATOMIC_SPECIES
Ni 58.69 Ni.upf
Hg 200.59 Hg.upf
Se 78.96 Se.upf
CELL_PARAMETERS angstrom
9.3369 -1.7940 0.0000
9.3369 1.7940 0.0000
-2.0177 0.0000 7.9113
ATOMIC_POSITIONS angstrom
Ni 0.0000 0.0000 0.0000
Ni 4.1674 0.0000 5.3374
Ni 6.3475 0.0000 0.0929
Ni 10.3086 0.0000 7.8184
Ni 12.4887 0.0000 2.5739
Hg 8.3280 0.0000 3.9556
Se -0.0224 0.0000 6.5940
Se 2.2563 0.0000 3.8908
Se 4.1421 0.0000 1.2122
Se 6.3556 0.0000 6.6039
Se 10.3005 0.0000 1.3074
Se 12.5140 0.0000 6.6991
Se 14.3998 0.0000 4.0205
Se 16.6785 0.0000 1.3173

=====

4.
! ZrPa3Tl2O12 GGA-PBE relaxed; values from VASP
! Formation energy (no corrections) in kJ per mole of atoms: -247.61
! Total magnetization in μB/f.u.: 0.001
! DFT total energy in eV/atom: -8.192
&SYSTEM
  ibrav = 0, nat = 18, ntyp = 4
/
ATOMIC_SPECIES
Zr 91.22 Zr.upf
Pa 231.04 Pa.upf
Tl 204.38 Tl.upf
O 16.00 O.upf
CELL_PARAMETERS angstrom
4.0330 2.3284 6.4223
-4.0330 2.3284 6.4223
0.0000 -4.6569 6.4223
ATOMIC_POSITIONS angstrom
Zr 0.0000 0.0000 0.0000
Pa -4.0330 0.0000 9.6335
Pa -2.0165 1.1642 3.2112
Pa 2.0165 1.1642 3.2112
Tl 0.0000 0.0000 7.7798
Tl 0.0000 0.0000 11.4872
O 0.0000 -2.9281 5.2154
O -2.5358 1.4641 5.2154
O -2.4206 -1.3975 9.2293
O -2.5358 -1.4641 14.0515
O 0.0000 -2.7951 10.0377
O -2.4206 1.3975 10.0377
O 2.4206 -1.3975 9.2293
O 0.0000 2.7951 9.2293
O 2.5358 1.4641 5.2154
O 2.4206 1.3975 10.0377
O 2.5358 -1.4641 14.0515
O 0.0000 2.9281 14.0515

=====

Repeat the fourth record exactly.
! ZrPa3Tl2O12 GGA-PBE relaxed; values from VASP
! Formation energy (no corrections) in kJ per mole of atoms: -247.61
! Total magnetization in μB/f.u.: 0.001
! DFT total energy in eV/atom: -8.192
&SYSTEM
  ibrav = 0, nat = 18, ntyp = 4
/
ATOMIC_SPECIES
Zr 91.22 Zr.upf
Pa 231.04 Pa.upf
Tl 204.38 Tl.upf
O 16.00 O.upf
CELL_PARAMETERS angstrom
4.0330 2.3284 6.4223
-4.0330 2.3284 6.4223
0.0000 -4.6569 6.4223
ATOMIC_POSITIONS angstrom
Zr 0.0000 0.0000 0.0000
Pa -4.0330 0.0000 9.6335
Pa -2.0165 1.1642 3.2112
Pa 2.0165 1.1642 3.2112
Tl 0.0000 0.0000 7.7798
Tl 0.0000 0.0000 11.4872
O 0.0000 -2.9281 5.2154
O -2.5358 1.4641 5.2154
O -2.4206 -1.3975 9.2293
O -2.5358 -1.4641 14.0515
O 0.0000 -2.7951 10.0377
O -2.4206 1.3975 10.0377
O 2.4206 -1.3975 9.2293
O 0.0000 2.7951 9.2293
O 2.5358 1.4641 5.2154
O 2.4206 1.3975 10.0377
O 2.5358 -1.4641 14.0515
O 0.0000 2.9281 14.0515

=====

Repeat the fourth record exactly.
! ZrPa3Tl2O12 GGA-PBE relaxed; values from VASP
! Formation energy (no corrections) in kJ per mole of atoms: -247.61
! Total magnetization in μB/f.u.: 0.001
! DFT total energy in eV/atom: -8.192
&SYSTEM
  ibrav = 0, nat = 18, ntyp = 4
/
ATOMIC_SPECIES
Zr 91.22 Zr.upf
Pa 231.04 Pa.upf
Tl 204.38 Tl.upf
O 16.00 O.upf
CELL_PARAMETERS angstrom
4.0330 2.3284 6.4223
-4.0330 2.3284 6.4223
0.0000 -4.6569 6.4223
ATOMIC_POSITIONS angstrom
Zr 0.0000 0.0000 0.0000
Pa -4.0330 0.0000 9.6335
Pa -2.0165 1.1642 3.2112
Pa 2.0165 1.1642 3.2112
Tl 0.0000 0.0000 7.7798
Tl 0.0000 0.0000 11.4872
O 0.0000 -2.9281 5.2154
O -2.5358 1.4641 5.2154
O -2.4206 -1.3975 9.2293
O -2.5358 -1.4641 14.0515
O 0.0000 -2.7951 10.0377
O -2.4206 1.3975 10.0377
O 2.4206 -1.3975 9.2293
O 0.0000 2.7951 9.2293
O 2.5358 1.4641 5.2154
O 2.4206 1.3975 10.0377
O 2.5358 -1.4641 14.0515
O 0.0000 2.9281 14.0515